[1]
The following is a PBE calculation of a relaxed KLiCa2Ga crystal, from Alexandria.

Cell lengths 5.9437, 5.9437, 5.4141 Å; angles 90.00, 90.00, 90.00 degrees
Closest atoms and distances in Å follow each position.
Space group P4/mmm (No. 123)
One atom of each set of equivalent atoms:
K (0.0000, 0.0000, 0.0000) [1 per cell]  8 Ca 4.02, 4 Li 4.20
Li (0.5000, 0.5000, 0.0000) [1 per cell]  2 Ga 2.71
Ca (0.0000, 0.5000, 0.5000) [2 per cell]  2 Ga 2.97
Ga (0.5000, 0.5000, 0.5000) [1 per cell]  2 Li 2.71, 4 Ca 2.97

Properties
**E_form**: -0.0092 eV/atom



[2]
The following is a PBE calculation of a relaxed KCa2GaNi crystal, from Alexandria.

Cell lengths 5.5777, 5.5777, 4.7799 Å; angles 90.00, 90.00, 90.00 degrees
Closest atoms and distances in Å follow each position.
Space group P4/mmm (No. 123)
One atom of each set of equivalent atoms:
K (0.0000, 0.0000, 0.0000) [1 per cell]  8 Ca 3.67, 4 Ga 3.94
Ca (0.0000, 0.5000, 0.5000) [2 per cell]  2 Ni 2.79
Ga (0.5000, 0.5000, 0.0000) [1 per cell]  2 Ni 2.39
Ni (0.5000, 0.5000, 0.5000) [1 per cell]  2 Ga 2.39

Properties
**E_form**: -0.0751 eV/atom



[3]
The following is a PBE calculation of a relaxed K2CaGaO4 crystal, from Alexandria.

Cell lengths 6.5952, 6.5952, 6.0972 Å; angles 90.00, 90.00, 90.00 degrees
Closest atoms and distances in Å follow each position.
Space group I-42m (No. 121)
One atom of each set of equivalent atoms:
K (0.0000, 0.5000, 0.0000) [4 per cell]  8 O 2.80-3.09, 2 K 3.05
Ca (0.0000, 0.0000, 0.0000) [2 per cell]  4 O 2.29
Ga (0.0000, 0.0000, 0.5000) [2 per cell]  4 O 1.88
O (0.1513, 0.1513, 0.7048) [8 per cell]  1 Ga 1.88

Properties
**ΔE_f (raw)**: -1.655 eV per atom



[4]
The following is a PBE calculation of a relaxed KCaGaO3 crystal, from Alexandria.

Cell lengths 3.3691, 12.3193, 10.5919 Å; angles 90.00, 90.00, 90.00 degrees
Closest atoms and distances in Å follow each position.
Space group Cmcm (No. 63)
One atom of each set of equivalent atoms:
K (0.0000, 0.2364, 0.2500) [4 per cell]  6 O 2.89-2.90
Ca (0.0000, 0.0000, 0.0000) [4 per cell]  4 O 2.30
Ga (0.0000, 0.4892, 0.7500) [4 per cell]  4 O 1.83-1.98
O (0.0000, 0.0734, 0.7500) [4 per cell]  2 Ga 1.98
O (0.0000, 0.4090, 0.6042) [8 per cell]  1 Ga 1.83

Properties
**ΔE_f (raw)**: -2.109 eV per atom



[5]
The following is a PBE calculation of a relaxed KCa2GaOs crystal, from Alexandria.

Cell lengths 5.5348, 5.5348, 4.7171 Å; angles 90.00, 90.00, 90.00 degrees
Closest atoms and distances in Å follow each position.
Space group P4/mmm (No. 123)
One atom of each set of equivalent atoms:
K (0.0000, 0.0000, 0.0000) [1 per cell]  2 Os 2.36
Ca (0.0000, 0.5000, 0.0000) [2 per cell]  2 K 2.77
Ga (0.5000, 0.5000, 0.5000) [1 per cell]  8 Ca 3.64, 4 Os 3.91
Os (0.0000, 0.0000, 0.5000) [1 per cell]  2 K 2.36

Properties
**E_form**: 1.5965 eV/atom



[6]
The following is a PBE calculation of a relaxed KCaGa2Pb crystal, from Alexandria.

Cell lengths 5.7561, 5.7561, 5.9479 Å; angles 90.00, 90.00, 90.00 degrees
Closest atoms and distances in Å follow each position.
Space group P4/mmm (No. 123)
One atom of each set of equivalent atoms:
K (0.0000, 0.0000, 0.0000) [1 per cell]  4 Pb 4.07, 8 Ga 4.14
Ca (0.5000, 0.5000, 0.5000) [1 per cell]  4 Ga 2.88, 2 Pb 2.97
Ga (0.0000, 0.5000, 0.5000) [2 per cell]  2 Ca 2.88
Pb (0.5000, 0.5000, 0.0000) [1 per cell]  2 Ca 2.97

Properties
**E_form**: 0.3084 eV/atom



[7]
The following is a PBE calculation of a relaxed KCa2GaPd crystal, from Alexandria.

Cell lengths 5.7013, 5.7013, 4.9898 Å; angles 90.00, 90.00, 90.00 degrees
Closest atoms and distances in Å follow each position.
Space group P4/mmm (No. 123)
One atom of each set of equivalent atoms:
K (0.0000, 0.0000, 0.0000) [1 per cell]  8 Ca 3.79, 4 Ga 4.03
Ca (0.0000, 0.5000, 0.5000) [2 per cell]  2 Pd 2.85
Ga (0.5000, 0.5000, 0.0000) [1 per cell]  2 Pd 2.49
Pd (0.5000, 0.5000, 0.5000) [1 per cell]  2 Ga 2.49

Properties
**E_form**: -0.2732 eV/atom



[8]
The following is a PBE calculation of a relaxed KCa2GaPt crystal, from Alexandria.

Cell lengths 5.7005, 5.7005, 4.9598 Å; angles 90.00, 90.00, 90.00 degrees
Closest atoms and distances in Å follow each position.
Space group P4/mmm (No. 123)
One atom of each set of equivalent atoms:
K (0.0000, 0.0000, 0.0000) [1 per cell]  8 Ca 3.78, 4 Ga 4.03
Ca (0.0000, 0.5000, 0.5000) [2 per cell]  2 Pt 2.85
Ga (0.5000, 0.5000, 0.0000) [1 per cell]  2 Pt 2.48
Pt (0.5000, 0.5000, 0.5000) [1 per cell]  2 Ga 2.48

Properties
**E_form**: -0.4123 eV/atom



[9]
The following is a PBE calculation of a relaxed KCaGa2Rh crystal, from Alexandria.

Cell lengths 4.9464, 4.9464, 5.3589 Å; angles 90.00, 90.00, 90.00 degrees
Closest atoms and distances in Å follow each position.
Space group P4/mmm (No. 123)
One atom of each set of equivalent atoms:
K (0.0000, 0.0000, 0.0000) [1 per cell]  4 Ca 3.50, 8 Ga 3.65
Ca (0.5000, 0.5000, 0.0000) [1 per cell]  2 Rh 2.68
Ga (0.0000, 0.5000, 0.5000) [2 per cell]  2 Rh 2.47
Rh (0.5000, 0.5000, 0.5000) [1 per cell]  4 Ga 2.47, 2 Ca 2.68

Properties
**E_form**: -0.3034 eV/atom



[10]
The following is a PBE calculation of a relaxed K2CaGaSb2 crystal, from Alexandria.

Cell lengths 7.0572, 16.5751, 7.2954 Å; angles 90.00, 90.00, 90.00 degrees
Closest atoms and distances in Å follow each position.
Space group Ibam (No. 72)
One atom of each set of equivalent atoms:
K (0.2372, 0.1777, 0.0000) [8 per cell]  4 Sb 3.53-3.86, 2 Ga 3.85, 2 Ca 3.93
Ca (0.0000, 0.5000, 0.2500) [4 per cell]  4 Sb 3.13
Ga (0.0000, 0.0000, 0.2500) [4 per cell]  4 Sb 2.97
Sb (0.2299, 0.1019, 0.5000) [8 per cell]  2 Ga 2.97, 2 Ca 3.13

Properties
**ΔE_f (raw)**: -0.534 eV per atom



[11]
The following is a PBE calculation of a relaxed K2CaGaSn crystal, from Alexandria.

Cell lengths 6.0705, 6.0705, 5.9857 Å; angles 90.00, 90.00, 90.00 degrees
Closest atoms and distances in Å follow each position.
Space group P4/mmm (No. 123)
One atom of each set of equivalent atoms:
K (0.0000, 0.5000, 0.0000) [2 per cell]  2 Ga 3.04
Ca (0.0000, 0.0000, 0.5000) [1 per cell]  2 Ga 2.99
Ga (0.0000, 0.0000, 0.0000) [1 per cell]  2 Ca 2.99, 4 K 3.04
Sn (0.5000, 0.5000, 0.5000) [1 per cell]  8 K 4.26, 4 Ca 4.29

Properties
**E_form**: 0.3047 eV/atom



[12]
The following is a PBE calculation of a relaxed KSrCa2Ga crystal, from Alexandria.

Cell lengths 6.9736, 6.9736, 5.8145 Å; angles 90.00, 90.00, 90.00 degrees
Closest atoms and distances in Å follow each position.
Space group P4/mmm (No. 123)
One atom of each set of equivalent atoms:
K (0.0000, 0.0000, 0.0000) [1 per cell]  8 Ca 4.54, 4 Ga 4.93
Sr (0.5000, 0.5000, 0.5000) [1 per cell]  2 Ga 2.91
Ca (0.0000, 0.5000, 0.5000) [2 per cell]  2 Sr 3.49
Ga (0.5000, 0.5000, 0.0000) [1 per cell]  2 Sr 2.91

Properties
**Energy above the lowest structure with this stoichiometry**: 646 meV per atom
**E_form**: 0.5753 eV/atom



[13]
The following is a PBE calculation of a relaxed KSr2CaGa crystal, from Alexandria.

Cell lengths 6.3757, 6.3757, 6.0254 Å; angles 90.00, 90.00, 90.00 degrees
Closest atoms and distances in Å follow each position.
Space group P4/mmm (No. 123)
One atom of each set of equivalent atoms:
K (0.0000, 0.0000, 0.0000) [1 per cell]  8 Sr 4.39, 4 Ca 4.51
Sr (0.0000, 0.5000, 0.5000) [2 per cell]  2 Ga 3.19
Ca (0.5000, 0.5000, 0.0000) [1 per cell]  2 Ga 3.01
Ga (0.5000, 0.5000, 0.5000) [1 per cell]  2 Ca 3.01, 4 Sr 3.19

Properties
**E_form**: -0.0722 eV/atom



[14]
The following is a PBE calculation of a relaxed KSrCa2Ga crystal, from Alexandria.

Cell lengths 6.0149, 6.0149, 6.3408 Å; angles 90.00, 90.00, 90.00 degrees
Closest atoms and distances in Å follow each position.
Space group P4/mmm (No. 123)
One atom of each set of equivalent atoms:
K (0.0000, 0.0000, 0.0000) [1 per cell]  4 Sr 4.25, 8 Ca 4.37
Sr (0.5000, 0.5000, 0.0000) [1 per cell]  2 Ga 3.17
Ca (0.0000, 0.5000, 0.5000) [2 per cell]  2 Ga 3.01
Ga (0.5000, 0.5000, 0.5000) [1 per cell]  4 Ca 3.01, 2 Sr 3.17

Properties
**Energy above the lowest structure with this stoichiometry**: 0 meV per atom
**E_form**: -0.0703 eV/atom



[15]
The following is a PBE calculation of a relaxed CaLa5Ga6 crystal, from Alexandria.

Cell lengths 5.2961, 15.9773, 7.5186 Å; angles 90.00, 90.00, 90.00 degrees
Closest atoms and distances in Å follow each position.
Space group Cmmm (No. 65)
One atom of each set of equivalent atoms:
Ca (0.0000, 0.0000, 0.0000) [2 per cell]  8 Ga 3.19-3.25
La (0.0000, 0.0000, 0.5000) [2 per cell]  8 Ga 3.24-3.26
La (0.0000, 0.3293, 0.5000) [4 per cell]  8 Ga 3.28-3.31, 2 La 3.66
La (0.0000, 0.3384, 0.0000) [4 per cell]  8 Ga 3.20-3.33
Ga (0.0000, 0.1637, 0.2421) [8 per cell]  1 Ca 3.19, 7 La 3.21-3.33
Ga (0.0000, 0.5000, 0.2512) [4 per cell]  6 La 3.20-3.31, 2 Ca 3.25

Properties
**E_form**: -0.5500 eV/atom



[16]
The following is a PBE calculation of a relaxed CaLa2Ga2 crystal, from Alexandria.

Cell lengths 9.0465, 9.0465, 3.5118 Å; angles 90.00, 90.00, 90.00 degrees
Closest atoms and distances in Å follow each position.
Space group P4/mbm (No. 127)
One atom of each set of equivalent atoms:
Ca (0.0000, 0.0000, 0.0000) [2 per cell]  2 Ca 3.51, 4 La 3.59, 8 Ga 3.78
La (0.1225, 0.3775, 0.0000) [4 per cell]  1 La 3.13, 6 Ga 3.14-3.24
Ga (0.1743, 0.6743, 0.5000) [4 per cell]  6 La 3.14-3.24, 2 Ga 3.51

Properties
**Energy above the lowest structure with this stoichiometry**: 131 meV per atom
**E_form**: -0.3349 eV/atom



[17]
The following is a PBE calculation of a relaxed CaLa2Ga crystal, from Alexandria.

Cell lengths 5.0131, 5.0131, 4.8726 Å; angles 90.00, 90.00, 90.00 degrees
Closest atoms and distances in Å follow each position.
Space group P4/mmm (No. 123)
One atom of each set of equivalent atoms:
Ca (0.0000, 0.0000, 0.0000) [1 per cell]  8 La 3.50, 4 Ga 3.54
La (0.0000, 0.5000, 0.5000) [2 per cell]  4 Ca 3.50, 4 Ga 3.50, 4 La 3.54
Ga (0.5000, 0.5000, 0.0000) [1 per cell]  8 La 3.50, 4 Ca 3.54

Properties
**E_form**: -0.1866 eV/atom



[18]
The following is a PBE calculation of a relaxed CaLa2Ga crystal, from Alexandria.

Cell lengths 3.7237, 3.7237, 35.5871 Å; angles 90.00, 90.00, 120.00 degrees
Closest atoms and distances in Å follow each position.
Space group R-3m (No. 166, hexagonal axes)
One atom of each set of equivalent atoms:
Ca (0.0000, 0.0000, 0.0000) [3 per cell]  2 La 3.69, 6 Ca 3.72
La (0.0000, 0.0000, 0.1036) [6 per cell]  3 Ga 3.11
Ga (0.0000, 0.0000, 0.5000) [3 per cell]  6 La 3.11

Properties
**E_form**: -0.0621 eV/atom



[19]
The following is a PBE calculation of a relaxed Ca3La4Ga4 crystal, from Alexandria.

Cell lengths 5.3188, 7.6561, 16.5456 Å; angles 90.00, 90.00, 90.00 degrees
Closest atoms and distances in Å follow each position.
Space group Immm (No. 71)
One atom of each set of equivalent atoms:
Ca (0.0000, 0.0000, 0.0000) [2 per cell]  2 Ga 3.19
Ca (0.0000, 0.5000, 0.1037) [4 per cell]  4 Ga 3.41, 1 Ca 3.43, 4 La 3.65
La (0.0000, 0.2913, 0.3272) [8 per cell]  4 Ga 3.02-3.15, 1 La 3.20
Ga (0.0000, 0.0000, 0.1930) [4 per cell]  6 La 3.12-3.15, 1 Ca 3.19
Ga (0.0000, 0.1659, 0.5000) [4 per cell]  1 Ga 2.54

Properties
**E_form**: -0.3165 eV/atom



[20]
The following is a PBE calculation of a relaxed Ca4LaGa4 crystal, from Alexandria.

Cell lengths 9.5537, 9.5537, 6.1408 Å; angles 90.00, 90.00, 90.00 degrees
Closest atoms and distances in Å follow each position.
Space group P4_2/n (No. 86, origin choice 2)
One atom of each set of equivalent atoms:
Ca (0.0773, 0.6574, 0.1243) [8 per cell]  5 Ga 3.07-3.29
La (0.2500, 0.2500, 0.2500) [2 per cell]  4 Ga 3.05
Ga (0.0223, 0.6056, 0.6186) [8 per cell]  1 Ga 2.52

Properties
**E_form**: -0.2756 eV/atom